Entry 1:
## CdBi2S (GGA-PBE)

Data for a relaxed structure of CdBi2S.

Symmetry: I-42d (122)
DOS(E_F) in states/eV per atom: 0.44
Calculated volume in Å³ per atom: 32.0
Spin magnetization in μB/f.u.: 0.00
E above lowest polymorph in meV per atom: 0
Raw formation energy in eV/atom: 0.109
Mass density in g/cm³: 7.30

Cell lengths 5.1610, 5.1610, 19.2188 Å; angles 90.00, 90.00, 90.00 degrees
Closest atoms and distances in Å follow each position.
Atoms (fractional coordinates):
Cd (0.0000, 0.0000, 0.0000)  4 Bi 3.19
Cd (0.0000, 0.5000, 0.2500)  4 Bi 3.19
Cd (0.5000, 0.0000, 0.7500)  4 Bi 3.19
Cd (0.5000, 0.5000, 0.5000)  4 Bi 3.19
Bi (0.1784, 0.2500, 0.6250)  2 S 2.88, 2 Bi 3.17, 2 Cd 3.19
Bi (0.2500, 0.6784, 0.8750)  2 S 2.88, 2 Bi 3.17, 2 Cd 3.19
Bi (0.2500, 0.8216, 0.3750)  2 S 2.88, 2 Bi 3.17, 2 Cd 3.19
Bi (0.3216, 0.2500, 0.1250)  2 S 2.88, 2 Bi 3.17, 2 Cd 3.19
Bi (0.6784, 0.7500, 0.1250)  2 S 2.88, 2 Bi 3.17, 2 Cd 3.19
Bi (0.7500, 0.1784, 0.3750)  2 S 2.88, 2 Bi 3.17, 2 Cd 3.19
Bi (0.7500, 0.3216, 0.8750)  2 S 2.88, 2 Bi 3.17, 2 Cd 3.19
Bi (0.8216, 0.7500, 0.6250)  2 S 2.88, 2 Bi 3.17, 2 Cd 3.19
S (0.0000, 0.0000, 0.5000)  4 Bi 2.88
S (0.0000, 0.5000, 0.7500)  4 Bi 2.88
S (0.5000, 0.0000, 0.2500)  4 Bi 2.88
S (0.5000, 0.5000, 0.0000)  4 Bi 2.88


Entry 2:
## CdBi4S7 (GGA-PBE)

Data for a relaxed structure of CdBi4S7.

Symmetry: Cm (8)
Calculated volume in Å³ per atom: 26.2
Spin magnetization in μB/f.u.: 0.00
Raw formation energy in eV/atom: -0.382
Mass density in g/cm³: 6.20

Cell lengths 6.9584, 6.9584, 12.1284 Å; angles 104.30, 104.30, 33.65 degrees
Closest atoms and distances in Å follow each position.
Atoms (fractional coordinates):
Cd (0.0000, 0.0000, 0.0000)  6 S 2.58-2.85
Bi (0.1147, 0.1147, 0.4322)  6 S 2.76-2.88
Bi (0.2499, 0.2499, 0.8622)  5 S 2.65-2.96
Bi (0.4212, 0.4212, 0.5779)  5 S 2.65-2.90
Bi (0.7632, 0.7632, 0.1736)  3 S 2.67-2.74
S (0.0700, 0.0700, 0.6419)  3 Bi 2.76-2.79
S (0.1319, 0.1319, 0.2014)  1 Cd 2.61, 3 Bi 2.74-2.87
S (0.3777, 0.3777, 0.0700)  1 Bi 2.65, 2 Cd 2.85
S (0.4631, 0.4631, 0.3759)  3 Bi 2.65-2.81
S (0.6373, 0.6373, 0.9631)  3 Bi 2.67-2.96, 2 Cd 2.83
S (0.7739, 0.7739, 0.4634)  4 Bi 2.88-2.90
S (0.8680, 0.8680, 0.8024)  1 Cd 2.58, 2 Bi 2.77


Entry 3:
## Cd3BiS (GGA-PBE)

Data for a relaxed structure of Cd3BiS.

Symmetry: Pm-3m (221)
DOS(E_F) in states/eV per atom: 0.57
Calculated volume in Å³ per atom: 35.9
Spin magnetization in μB/f.u.: 0.00
E above lowest polymorph in meV per atom: 330
Raw formation energy in eV/atom: 0.520
Mass density in g/cm³: 5.34

Cell lengths 5.6430, 5.6430, 5.6430 Å; angles 90.00, 90.00, 90.00 degrees
Closest atoms and distances in Å follow each position.
Atoms (fractional coordinates):
Cd (0.0000, 0.0000, 0.5000)  2 Bi 2.82
Cd (0.0000, 0.5000, 0.0000)  2 Bi 2.82
Cd (0.5000, 0.0000, 0.0000)  2 Bi 2.82
Bi (0.0000, 0.0000, 0.0000)  6 Cd 2.82
S (0.5000, 0.5000, 0.5000)  12 Cd 3.99